# 1
Below is a relaxed structure of FeRePdPb, with properties calculated at the GGA-PBE level.

Energy above the most stable polymorph in this dataset ... 0.00 eV/f.u.

a = 4.5307 Å, b = 4.5307 Å, c = 4.5307 Å
α = 60.00°, β = 60.00°, γ = 60.00°
Positions (direct):
Pd  0.2500  0.2500  0.2500
Pb  0.0000  0.0000  0.0000
Fe  0.7500  0.7500  0.7500
Re  0.5000  0.5000  0.5000

---

# 2
Below is a relaxed structure of FeTcPdPb, with properties calculated at the GGA-PBE level.

Energy above the most stable polymorph in this dataset ... 0.00 eV/f.u.

a = 4.5438 Å, b = 4.5438 Å, c = 4.5438 Å
α = 60.00°, β = 60.00°, γ = 60.00°
Positions (direct):
Fe  0.7500  0.7500  0.7500
Pb  0.0000  0.0000  0.0000
Pd  0.2500  0.2500  0.2500
Tc  0.5000  0.5000  0.5000

---

# 3
Below is a relaxed structure of YFePdPb, with properties calculated at the GGA-PBE level.

Energy above the most stable polymorph in this dataset ... 0.00 eV/f.u.

a = 4.8102 Å, b = 4.8102 Å, c = 4.8102 Å
α = 60.00°, β = 60.00°, γ = 60.00°
Positions (direct):
Y  0.5000  0.5000  0.5000
Pb  0.0000  0.0000  0.0000
Pd  0.2500  0.2500  0.2500
Fe  0.7500  0.7500  0.7500

---

# 4
Below is a relaxed structure of YFePdPb, with properties calculated at the GGA-PBE level.

Energy above the most stable polymorph in this dataset ... 0.39 eV/f.u.

a = 4.8747 Å, b = 4.8747 Å, c = 4.8747 Å
α = 60.00°, β = 60.00°, γ = 60.00°
Positions (direct):
Pd  0.5000  0.5000  0.5000
Fe  0.7500  0.7500  0.7500
Pb  0.0000  0.0000  0.0000
Y  0.2500  0.2500  0.2500

---

# 5
Below is a relaxed structure of ZnFePdPb, with properties calculated at the GGA-PBE level.

Energy above the most stable polymorph in this dataset ... 0.00 eV/f.u.

a = 4.5651 Å, b = 4.5651 Å, c = 4.5651 Å
α = 60.00°, β = 60.00°, γ = 60.00°
Positions (direct):
Fe  0.7500  0.7500  0.7500
Pd  0.2500  0.2500  0.2500
Pb  0.0000  0.0000  0.0000
Zn  0.5000  0.5000  0.5000

---

# 6
Below is a relaxed structure of Pr5FePb3, with properties calculated at the GGA-PBE level.

E ... -93.26 eV/cell

a = 9.6132 Å, b = 9.6132 Å, c = 6.9271 Å
α = 90.00°, β = 90.00°, γ = 120.00°
Site moments in Bohr magnetons follow the coordinates.
Positions (direct):
Fe  0.0000  0.0000  0.5000  1.82
Pr  0.6667  0.3333  0.0000  0.03
Pr  0.6667  0.3333  0.5000  0.03
Pb  0.6021  0.0000  0.2500  0.04
Pb  0.3979  0.0000  0.7500  0.04
Pr  0.3333  0.6667  0.5000  0.03
Pb  0.6021  0.6021  0.7500  0.04
Pr  0.3333  0.6667  0.0000  0.03
Pr  0.0000  0.7599  0.7500  -0.16
Pb  0.3979  0.3979  0.2500  0.04
Pr  0.2401  0.2401  0.7500  -0.17
Pr  0.0000  0.2401  0.2500  -0.16
Pr  0.7599  0.7599  0.2500  -0.17
Pb  0.0000  0.6021  0.2500  0.05
Pr  0.2401  0.0000  0.2500  -0.17
Pb  0.0000  0.3979  0.7500  0.05
Fe  0.0000  0.0000  0.0000  1.77
Pr  0.7599  0.0000  0.7500  -0.17